1.
NdDyGe2: optimized geometry, GGA-PBE.

a b c (Å): 4.026 5.892 8.125
angles (deg): 90.00 90.00 90.00
Sites, in units of the cell vectors:
Nd 0.000 0.132 0.000
Nd 0.000 0.868 0.500
Dy 0.500 0.369 0.637
Dy 0.500 0.631 0.137
Ge 0.000 0.393 0.359
Ge 0.000 0.607 0.859
Ge 0.500 0.111 0.280
Ge 0.500 0.889 0.780

Computed properties:
Crystal system: orthorhombic
Final energy in eV/cell: -43.980
Space group: Pmc2_1

2.
NdDyGe2: optimized geometry, GGA-PBE.

a b c (Å): 4.028 4.386 10.923
angles (deg): 90.00 90.00 90.00
Sites, in units of the cell vectors:
Nd 0.000 0.000 0.000
Nd 0.000 0.500 0.500
Dy 0.500 0.000 0.276
Dy 0.500 0.500 0.776
Ge 0.000 0.000 0.723
Ge 0.000 0.500 0.223
Ge 0.500 0.000 0.556
Ge 0.500 0.500 0.056

Computed properties:
Crystal system: orthorhombic
Final energy in eV/cell: -43.999
Space group: Amm2

3.
Nd2DyGe: optimized geometry, GGA-PBE.

a b c (Å): 4.746 4.746 4.819
angles (deg): 90.00 90.00 90.00
Sites, in units of the cell vectors:
Nd 0.000 0.500 0.000
Nd 0.500 0.000 0.000
Dy 0.000 0.000 0.500
Ge 0.500 0.500 0.500

Computed properties:
Crystal system: tetragonal
Polymorph energy (0 for the lowest one) in meV per atom: 0
Space group: P4/mmm

4.
NdDyGe: optimized geometry, GGA-PBE.

a b c (Å): 4.763 4.763 4.280
angles (deg): 90.00 90.00 120.00
Sites, in units of the cell vectors:
Nd 0.000 0.000 0.000
Dy 0.667 0.333 0.527
Ge 0.333 0.667 0.375

Computed properties:
Crystal system: trigonal
Polymorph energy (0 for the lowest one) in meV per atom: 118
Space group: P3m1

5.
Nd2DyGe2: optimized geometry, GGA-PBE.

a b c (Å): 6.640 6.640 10.821
angles (deg): 114.96 114.96 39.08
Sites, in units of the cell vectors:
Nd 0.016 0.016 0.187
Nd 0.179 0.179 0.589
Nd 0.821 0.821 0.411
Nd 0.984 0.984 0.813
Dy 0.278 0.278 0.137
Dy 0.722 0.722 0.863
Ge 0.383 0.383 0.939
Ge 0.481 0.481 0.609
Ge 0.519 0.519 0.391
Ge 0.617 0.617 0.061

Computed properties:
Crystal system: monoclinic
Polymorph energy (0 for the lowest one) in meV per atom: 71
Space group: C2/m

6.
Nd3Dy3Ge4: optimized geometry, GGA-PBE.

a b c (Å): 4.368 7.691 7.691
angles (deg): 90.19 90.00 90.00
Sites, in units of the cell vectors:
Nd 0.000 0.000 0.000
Nd 0.000 0.496 0.846
Nd 0.000 0.846 0.496
Dy 0.000 0.347 0.347
Dy 0.500 0.172 0.674
Dy 0.500 0.674 0.172
Ge 0.500 0.056 0.298
Ge 0.500 0.298 0.056
Ge 0.500 0.545 0.545
Ge 0.500 0.794 0.794

Computed properties:
Crystal system: orthorhombic
Final energy in eV/cell: -54.332
Space group: Amm2

7.
NdDyGe2: optimized geometry, GGA-PBE.

a b c (Å): 4.305 4.305 19.870
angles (deg): 90.00 90.00 120.00
Sites, in units of the cell vectors:
Nd 0.000 0.000 0.000
Nd 0.333 0.667 0.667
Nd 0.667 0.333 0.333
Dy 0.000 0.000 0.500
Dy 0.333 0.667 0.167
Dy 0.667 0.333 0.833
Ge 0.000 0.000 0.246
Ge 0.000 0.000 0.754
Ge 0.333 0.667 0.421
Ge 0.333 0.667 0.913
Ge 0.667 0.333 0.087
Ge 0.667 0.333 0.579

Computed properties:
Crystal system: trigonal
Final energy in eV/cell: -63.661
Space group: R-3m

8.
NdDyGe: optimized geometry, GGA-PBE.

a b c (Å): 7.039 7.039 7.039
angles (deg): 90.00 90.00 90.00
Sites, in units of the cell vectors:
Nd 0.000 0.000 0.000
Nd 0.000 0.500 0.500
Nd 0.500 0.000 0.500
Nd 0.500 0.500 0.000
Dy 0.000 0.000 0.500
Dy 0.000 0.500 0.000
Dy 0.500 0.000 0.000
Dy 0.500 0.500 0.500
Ge 0.250 0.250 0.250
Ge 0.250 0.750 0.750
Ge 0.750 0.250 0.750
Ge 0.750 0.750 0.250

Computed properties:
Crystal system: cubic
Polymorph energy (0 for the lowest one) in meV per atom: 0
Space group: F-43m

9.
NdDyGe4: optimized geometry, GGA-PBE.

a b c (Å): 5.685 5.685 5.685
angles (deg): 60.00 60.00 60.00
Sites, in units of the cell vectors:
Nd 0.000 0.000 0.000
Dy 0.750 0.750 0.750
Ge 0.376 0.376 0.376
Ge 0.376 0.376 0.871
Ge 0.376 0.871 0.376
Ge 0.871 0.376 0.376

Computed properties:
Crystal system: cubic
Final energy in eV/cell: -29.861
Space group: F-43m

10.
NdDy2Ge: optimized geometry, GGA-PBE.

a b c (Å): 3.782 3.782 29.271
angles (deg): 90.00 90.00 120.00
Sites, in units of the cell vectors:
Nd 0.000 0.000 0.000
Nd 0.333 0.667 0.667
Nd 0.667 0.333 0.333
Dy 0.000 0.000 0.232
Dy 0.000 0.000 0.437
Dy 0.333 0.667 0.104
Dy 0.333 0.667 0.898
Dy 0.667 0.333 0.565
Dy 0.667 0.333 0.770
Ge 0.000 0.000 0.835
Ge 0.333 0.667 0.501
Ge 0.667 0.333 0.168

Computed properties:
Crystal system: trigonal
Polymorph energy (0 for the lowest one) in meV per atom: 72
Space group: R3m

11.
NdDyGe: optimized geometry, GGA-PBE.

a b c (Å): 4.311 4.311 11.519
angles (deg): 90.00 90.00 120.00
Sites, in units of the cell vectors:
Nd 0.000 0.000 0.229
Nd 0.000 0.000 0.771
Dy 0.333 0.667 0.000
Dy 0.667 0.333 0.500
Ge 0.333 0.667 0.360
Ge 0.333 0.667 0.640

Computed properties:
Crystal system: hexagonal
Polymorph energy (0 for the lowest one) in meV per atom: 139
Space group: P-6m2

12.
Nd2DyGe2: optimized geometry, GGA-PBE.

a b c (Å): 7.723 7.723 4.412
angles (deg): 90.00 90.00 90.00
Sites, in units of the cell vectors:
Nd 0.175 0.325 0.000
Nd 0.325 0.825 0.000
Nd 0.675 0.175 0.000
Nd 0.825 0.675 0.000
Dy 0.000 0.000 0.500
Dy 0.500 0.500 0.500
Ge 0.122 0.622 0.500
Ge 0.378 0.122 0.500
Ge 0.622 0.878 0.500
Ge 0.878 0.378 0.500

Computed properties:
Crystal system: tetragonal
Polymorph energy (0 for the lowest one) in meV per atom: 0
Space group: P4/mbm